# 1
Computed, not measured: a geometry-optimized YCd2Pt structure at the GGA-PBE level of DFT.

Cell lengths 9.8453, 9.8453, 9.8453 Å; angles 19.06, 19.06, 19.06 degrees
Element x y z (fractional)
Y1 0.7500 0.7500 0.7500
Cd1 0.9895 0.9895 0.9895
Cd2 0.5105 0.5105 0.5105
Pt1 0.2500 0.2500 0.2500

Computed properties:
Formation enthalpy at 0 K: -0.099 eV per atom
Crystal system: trigonal
Space group: R-3m, No. 166


# 2
Computed, not measured: a geometry-optimized DyHoTh3 structure at the GGA-PBE level of DFT.

Cell lengths 7.3620, 7.3620, 7.3620 Å; angles 70.52, 70.52, 70.52 degrees
Element x y z (fractional)
Ho1 0.0934 0.0934 0.0934
Ho2 0.9066 0.9066 0.9066
Dy1 0.4104 0.4104 0.4104
Dy2 0.5896 0.5896 0.5896
Th1 0.9729 0.4861 0.7625
Th2 0.2375 0.0271 0.5139
Th3 0.4861 0.7625 0.9729
Th4 0.5139 0.2375 0.0271
Th5 0.0271 0.5139 0.2375
Th6 0.7625 0.9729 0.4861

Computed properties:
Formation enthalpy at 0 K: 0.571 eV per atom
Offset from the most stable computed form: 227.6 meV per atom
Crystal system: trigonal
Space group: R-3, No. 148


# 3
Computed, not measured: a geometry-optimized Tb3Pm2Nd3 structure at the GGA-PBE level of DFT.

Cell lengths 6.3547, 8.6443, 14.6862 Å; angles 90.00, 90.00, 137.40 degrees
Element x y z (fractional)
Nd1 0.5836 0.2499 0.2500
Nd2 0.0851 0.2502 0.8759
Nd3 0.4164 0.7501 0.7500
Nd4 0.9149 0.7498 0.3759
Nd5 0.0851 0.2502 0.6241
Nd6 0.9149 0.7498 0.1241
Tb1 0.5848 0.2499 0.5005
Tb2 0.5850 0.2505 0.7500
Tb3 0.4152 0.7501 0.4995
Tb4 0.5848 0.2499 0.9995
Tb5 0.4152 0.7501 0.0005
Tb6 0.4150 0.7495 0.2500
Pm1 0.9189 0.7504 0.8754
Pm2 0.0811 0.2496 0.3754
Pm3 0.0811 0.2496 0.1246
Pm4 0.9189 0.7504 0.6246

Computed properties:
Formation enthalpy at 0 K: 0.028 eV per atom
Offset from the most stable computed form: 0.0 meV per atom
Crystal system: monoclinic
Space group: P2_1/m, No. 11


# 4
Computed, not measured: a geometry-optimized Mg2ZrPt structure at the GGA-PBE level of DFT.

Cell lengths 5.5540, 5.5540, 2.8742 Å; angles 90.00, 90.00, 119.44 degrees
Element x y z (fractional)
Pt1 0.5000 0.0000 0.5000
Mg1 0.5000 0.5000 0.0000
Mg2 0.0000 0.0000 0.0000
Zr1 0.0000 0.5000 0.5000

Computed properties:
Formation enthalpy at 0 K: -0.247 eV per atom
Crystal system: orthorhombic
Space group: Cmmm, No. 65


Number 1: Fermi-level density of states 2.6 states/eV/cell. Number 2: Fermi-level density of states 17.2 states/eV/cell. Number 3: Fermi-level density of states 28.6 states/eV/cell. Number 4: Fermi-level density of states 2.4 states/eV/cell.